No. 1
CoHg2Br | Alexandria via LeMat-Bulk | GGA-PBE | relaxed; space-group type = R-3m; electronic total energy = -2.078 eV/atom; ΔE_f (raw) = 0.268 eV per atom; excess energy over the best structure of this formula in the dataset = 67 kJ/mol of formula units
1.0
8.326 0.054 0.032
7.515 3.584 0.032
7.515 1.726 3.141
Br Co Hg
1 1 2
Cartesian
5.839 1.341 0.801 Br
17.517 4.023 2.404 Co
11.425 2.624 1.568 Hg
0.253 0.058 0.035 Hg

No. 2
HoP2Pd | Alexandria via LeMat-Bulk | GGA-PBE | relaxed; space-group type = R-3m; electronic total energy = -5.914 eV/atom; formation energy = -0.766 eV per atom
1.0
-1.862 -3.030 -1.719
1.944 -2.339 -2.520
1.464 -4.982 2.658
P Ho Pd
2 1 1
Cartesian
0.323 -2.446 -0.576 P
1.223 -7.905 -1.005 P
0.773 -5.176 -0.791 Ho
0.000 0.000 0.000 Pd

No. 3
Dy5YHo2Sc | Alexandria via LeMat-Bulk | GGA-PBE | relaxed; space-group type = Cmc2_1; electronic total energy = -4.824 eV/atom; formation energy = 0.172 eV per atom
1.0
5.524 0.000 0.000
-2.762 9.954 0.000
0.000 0.000 10.295
Dy Ho Sc Y
10 4 2 2
Cartesian
0.000 9.592 7.626 Dy
2.762 3.985 2.122 Dy
0.000 5.468 3.297 Dy
0.000 0.333 0.168 Dy
2.762 9.620 5.315 Dy
2.762 2.452 5.369 Dy
0.000 7.502 0.221 Dy
0.000 5.969 7.269 Dy
2.762 4.486 8.445 Dy
2.762 0.362 2.479 Dy
0.000 2.280 7.582 Ho
0.000 2.219 3.203 Ho
2.762 7.735 8.351 Ho
2.762 7.674 2.435 Ho
0.000 3.890 0.157 Sc
2.762 6.064 5.305 Sc
0.000 8.124 4.693 Y
2.762 1.830 9.841 Y

No. 4
C3Se | Alexandria via LeMat-Bulk | GGA-PBE | relaxed; space-group type = R-3m; electronic total energy = -5.377 eV/atom; ΔE_f (raw) = 2.412 eV per atom; excess energy over the best structure of this formula in the dataset = 420 kJ/mol of formula units
1.0
-1.166 2.374 -6.683
-3.602 1.480 -6.041
-2.841 3.934 -5.302
C Se
3 1
Cartesian
-6.052 6.194 -14.339 C
-3.804 3.894 -9.013 C
-1.557 1.593 -3.688 C
0.000 0.000 0.000 Se

No. 5
ZnCoNi6 | Alexandria via LeMat-Bulk | GGA-PBE | relaxed; space-group type = Cmmm; electronic total energy = -5.441 eV/atom; formation energy = -0.058 eV per atom; excess energy over the best structure of this formula in the dataset = 5 kJ/mol of formula units
1.0
-1.753 -4.461 3.846
1.846 -2.473 -5.315
9.361 -0.625 3.542
Co Ni Zn
4 24 4
Cartesian
7.972 -3.436 -0.384 Co
6.161 -4.437 4.227 Co
4.717 -3.779 1.033 Co
0.056 -3.468 -0.731 Co
3.155 -5.654 1.375 Ni
1.664 -5.002 -1.796 Ni
7.067 -3.936 1.922 Ni
2.340 -0.156 0.885 Ni
3.109 -2.245 2.097 Ni
2.386 -3.623 0.151 Ni
4.046 -5.161 -0.894 Ni
8.472 -4.582 5.061 Ni
5.662 -3.290 -1.218 Ni
6.393 -5.316 -0.031 Ni
4.001 -1.752 -0.172 Ni
8.694 -5.470 0.840 Ni
0.772 -5.495 0.474 Ni
10.256 -3.597 0.520 Ni
5.485 -5.818 2.279 Ni
7.741 -2.556 3.874 Ni
6.347 -1.901 0.693 Ni
8.649 -2.054 1.564 Ni
5.439 -2.402 3.003 Ni
0.727 -2.085 1.196 Ni
7.021 -0.469 2.656 Ni
7.787 -5.972 3.150 Ni
1.618 -1.593 -1.073 Ni
3.878 -4.276 3.323 Ni
3.293 -3.122 -2.158 Zn
9.359 -0.625 3.541 Zn
1.480 -4.125 2.459 Zn
4.682 -0.313 1.771 Zn

No. 6
KCd2BO4 | Alexandria via LeMat-Bulk | GGA-PBE | relaxed; space-group type = I-42m; electronic total energy = -5.235 eV/atom; ΔE_f (raw) = -1.555 eV per atom
1.0
-2.642 4.722 0.087
-3.604 -1.952 -3.533
1.088 -2.573 4.456
O K Cd B
4 1 2 1
Cartesian
-3.751 0.013 -1.687 O
-2.593 -0.459 1.535 O
-0.538 -1.370 2.669 O
-3.435 2.208 -0.497 O
0.000 0.000 0.001 K
-2.339 1.766 1.410 Cd
-2.820 -1.571 -0.400 Cd
-3.123 1.385 -1.723 B

no.,calculated density (g/cm3)
1,9.8
2,7.6
3,7.5
4,4.4
5,8.9
6,5.3